Entry 1:
Crystalline CsBeSbAs2 at its relaxed geometry. Source: Alexandria, functional PBEsol.

Lattice parameters (Å, degrees): 4.882 5.589 5.589 90.00 90.00 90.00
Atoms (fractional coordinates):
Cs 0.000 0.000 0.000
Sb 0.500 0.500 0.500
As 0.000 0.000 0.500
As 0.000 0.500 0.000
Be 0.500 0.000 0.000

Values from the calculation:
Its uncorrected formation energy is 1.8680 eV per atom. The value obtained for the energy is -2.07 eV per atom. Its space group is No. 123.


Entry 2:
Crystalline CrP2Au at its relaxed geometry. Source: Alexandria, functional PBEsol.

Lattice parameters (Å, degrees): 3.143 4.184 4.895 102.33 90.00 112.06
Atoms (fractional coordinates):
Au 0.490 0.980 0.519
Cr 0.733 0.466 0.100
P 0.027 0.053 0.117
P 0.250 0.501 0.765

Values from the calculation:
For the polymorph energy (0 for the lowest one), the calculation gives 34 meV per atom. The value obtained for the energy is -6.46 eV per atom. For the formation energy, the calculation gives -0.024 eV per atom. Its space group is No. 8.


Entry 3:
Crystalline Sr2CaMg at its relaxed geometry. Source: Alexandria, functional PBEsol.

Lattice parameters (Å, degrees): 4.476 5.996 5.996 90.00 90.00 90.00
Atoms (fractional coordinates):
Sr 0.000 0.000 0.500
Sr 0.000 0.500 0.000
Ca 0.500 0.500 0.500
Mg 0.500 0.000 0.000

Values from the calculation:
The value obtained for the energy is -1.86 eV per atom. For the formation energy, the calculation gives 0.020 eV per atom. Its space group is No. 123.


Entry 4:
Crystalline CaAgF5 at its relaxed geometry. Source: Alexandria, functional PBEsol.

Lattice parameters (Å, degrees): 5.520 8.000 10.275 90.00 90.00 108.93
Site moments in Bohr magnetons follow the coordinates.
Atoms (fractional coordinates):
Ca 0.725 0.258 0.019  0.01
Ca 0.775 0.242 0.519  0.01
Ca 0.275 0.742 0.981  0.01
Ca 0.225 0.758 0.481  0.01
Ag 0.278 0.403 0.753  0.42
Ag 0.222 0.097 0.253  0.42
Ag 0.722 0.597 0.247  0.42
Ag 0.778 0.903 0.747  0.42
F 0.033 0.455 0.886  0.09
F 0.467 0.045 0.386  0.09
F 0.967 0.545 0.114  0.09
F 0.533 0.955 0.614  0.09
F 0.117 0.494 0.603  0.07
F 0.383 0.006 0.103  0.07
F 0.883 0.506 0.397  0.07
F 0.617 0.994 0.897  0.07
F 0.081 0.194 0.403  0.09
F 0.419 0.306 0.903  0.09
F 0.919 0.806 0.597  0.09
F 0.581 0.694 0.097  0.09
F 0.966 0.142 0.131  0.11
F 0.534 0.358 0.631  0.11
F 0.034 0.858 0.869  0.11
F 0.466 0.642 0.369  0.11
F 0.000 0.163 0.695  0.04
F 0.500 0.337 0.195  0.04
F 0.000 0.837 0.305  0.04
F 0.500 0.663 0.805  0.04

Values from the calculation:
Its uncorrected formation energy is -2.2250 eV per atom. For the polymorph energy (0 for the lowest one), the calculation gives 26 meV per atom. The value obtained for the energy is -4.38 eV per atom. Its space group is No. 14.


Question: Which formula does entry 2 have?
Answer: CrP2Au


Question: Which value of energy does entry 4 give?
Answer: -4.38 eV per atom


Question: Which of these has the lowest energy?
Answer: CrP2Au